Entry 1:
Here is a geometry-optimized HoHfAgOs structure from Alexandria. Energies are from GGA-PBE.

a = 6.803 Å, b = 6.803 Å, c = 6.803 Å
α = 90.00°, β = 90.00°, γ = 90.00°
Space group F-43m (No. 216)
One atom of each set of equivalent atoms:
Ho  0.000  0.000  0.000 (multiplicity 4)
Hf  0.000  0.000  0.500 (multiplicity 4)
Ag  0.250  0.250  0.250 (multiplicity 4)
Os  0.250  0.250  0.750 (multiplicity 4)

Size of the total moment in μB/f.u.: 0.000
ΔH_f (0 K) in meV/atom: -252

***

Entry 2:
Here is a geometry-optimized HoHfReAg structure from Alexandria. Energies are from GGA-PBE.

a = 6.815 Å, b = 6.815 Å, c = 6.815 Å
α = 90.00°, β = 90.00°, γ = 90.00°
Space group F-43m (No. 216)
One atom of each set of equivalent atoms:
Ho  0.000  0.000  0.000 (multiplicity 4)
Hf  0.000  0.000  0.500 (multiplicity 4)
Re  0.250  0.250  0.250 (multiplicity 4)
Ag  0.250  0.250  0.750 (multiplicity 4)

Size of the total moment in μB/f.u.: 0.000
ΔH_f (0 K) in meV/atom: -75

***

Entry 3:
Here is a geometry-optimized HoHfAgRu structure from Alexandria. Energies are from GGA-PBE.

a = 6.812 Å, b = 6.812 Å, c = 6.812 Å
α = 90.00°, β = 90.00°, γ = 90.00°
Space group F-43m (No. 216)
One atom of each set of equivalent atoms:
Ho  0.000  0.000  0.000 (multiplicity 4)
Hf  0.000  0.000  0.500 (multiplicity 4)
Ag  0.250  0.250  0.750 (multiplicity 4)
Ru  0.250  0.250  0.250 (multiplicity 4)

Size of the total moment in μB/f.u.: 0.000
ΔH_f (0 K) in meV/atom: -284

***

Entry 4:
Here is a geometry-optimized Ho3HfAg3Se8 structure from Alexandria. Energies are from GGA-PBE.

a = 14.073 Å, b = 8.158 Å, c = 8.156 Å
α = 90.00°, β = 125.17°, γ = 90.00°
Space group C2/m (No. 12)
One atom of each set of equivalent atoms:
Ho  0.000  0.000  0.000 (multiplicity 2)
Ho  0.250  0.250  0.500 (multiplicity 4)
Hf  0.000  0.500  0.000 (multiplicity 2)
Ag  0.000  0.500  0.500 (multiplicity 2)
Ag  0.250  0.250  0.000 (multiplicity 4)
Se  0.001  0.262  0.235 (multiplicity 8)
Se  0.236  0.500  0.240 (multiplicity 4)
Se  0.248  0.000  0.253 (multiplicity 4)

ΔE_f (raw) in eV per atom: -1.186
Size of the total moment in μB/f.u.: 0.000

***

Entry 5:
Here is a geometry-optimized HoHfTcAg structure from Alexandria. Energies are from GGA-PBE.

a = 6.817 Å, b = 6.817 Å, c = 6.817 Å
α = 90.00°, β = 90.00°, γ = 90.00°
Space group F-43m (No. 216)
One atom of each set of equivalent atoms:
Ho  0.000  0.000  0.000 (multiplicity 4)
Hf  0.000  0.000  0.500 (multiplicity 4)
Tc  0.250  0.250  0.750 (multiplicity 4)
Ag  0.250  0.250  0.250 (multiplicity 4)

Size of the total moment in μB/f.u.: 0.000
ΔH_f (0 K) in meV/atom: -156

***

Entry 6:
Here is a geometry-optimized HoHfZnAg structure from Alexandria. Energies are from GGA-PBE.

a = 6.951 Å, b = 6.951 Å, c = 6.951 Å
α = 90.00°, β = 90.00°, γ = 90.00°
Space group F-43m (No. 216)
One atom of each set of equivalent atoms:
Ho  0.000  0.000  0.000 (multiplicity 4)
Hf  0.000  0.000  0.500 (multiplicity 4)
Zn  0.250  0.250  0.750 (multiplicity 4)
Ag  0.250  0.250  0.250 (multiplicity 4)

Size of the total moment in μB/f.u.: 0.925
ΔH_f (0 K) in meV/atom: -100

***

Entry 7:
Here is a geometry-optimized HfAgI2 structure from Alexandria. Energies are from GGA-PBE.

a = 10.413 Å, b = 10.413 Å, c = 5.583 Å
α = 90.00°, β = 90.00°, γ = 90.00°
Space group I-42d (No. 122)
One atom of each set of equivalent atoms:
Hf  0.000  0.000  0.000 (multiplicity 4)
Ag  0.000  0.000  0.500 (multiplicity 4)
I  0.093  0.250  0.125 (multiplicity 8)

ΔE_f (raw) in eV per atom: 0.061
Size of the total moment in μB/f.u.: 0.675
Distance to the lowest polymorph of the same formula in kJ per mole of atoms: 0.0

***

Entry 8:
Here is a geometry-optimized HfAgI3 structure from Alexandria. Energies are from GGA-PBE.

a = 5.668 Å, b = 5.668 Å, c = 5.668 Å
α = 90.00°, β = 90.00°, γ = 90.00°
Space group Pm-3m (No. 221)
One atom of each set of equivalent atoms:
Hf  0.000  0.000  0.000 (multiplicity 1)
Ag  0.500  0.500  0.500 (multiplicity 1)
I  0.000  0.000  0.500 (multiplicity 3)

ΔE_f (raw) in eV per atom: -0.012
Size of the total moment in μB/f.u.: 0.000

***

Entry 9:
Here is a geometry-optimized HfAg3I structure from Alexandria. Energies are from GGA-PBE.

a = 5.290 Å, b = 5.290 Å, c = 5.290 Å
α = 90.00°, β = 90.00°, γ = 90.00°
Space group Pm-3m (No. 221)
One atom of each set of equivalent atoms:
Hf  0.000  0.000  0.000 (multiplicity 1)
Ag  0.000  0.500  0.500 (multiplicity 3)
I  0.500  0.500  0.500 (multiplicity 1)

ΔE_f (raw) in eV per atom: 1.352
Size of the total moment in μB/f.u.: 0.872
Distance to the lowest polymorph of the same formula in kJ per mole of atoms: 30.6

***

Entry 10:
Here is a geometry-optimized HfAg2I8 structure from Alexandria. Energies are from GGA-PBE.

a = 12.558 Å, b = 12.437 Å, c = 7.247 Å
α = 90.00°, β = 110.05°, γ = 90.00°
Space group C2/m (No. 12)
One atom of each set of equivalent atoms:
Hf  0.000  0.000  0.000 (multiplicity 2)
Ag  0.174  0.000  0.660 (multiplicity 4)
I  0.078  0.500  0.190 (multiplicity 4)
I  0.079  0.169  0.812 (multiplicity 8)
I  0.221  0.000  0.310 (multiplicity 4)

ΔE_f (raw) in eV per atom: -0.456
Size of the total moment in μB/f.u.: 0.000

***

Entry 11:
Here is a geometry-optimized HfAg2I6 structure from Alexandria. Energies are from GGA-PBE.

a = 7.258 Å, b = 7.632 Å, c = 14.779 Å
α = 90.00°, β = 118.49°, γ = 90.00°
Space group P2_1/c (No. 14)
One atom of each set of equivalent atoms:
Hf  0.000  0.000  0.000 (multiplicity 2)
Ag  0.416  0.154  0.833 (multiplicity 4)
I  0.032  0.164  0.834 (multiplicity 4)
I  0.231  0.704  0.992 (multiplicity 4)
I  0.380  0.182  0.147 (multiplicity 4)

ΔE_f (raw) in eV per atom: -0.582
Size of the total moment in μB/f.u.: 0.000

***

Entry 12:
Here is a geometry-optimized HfAgI2 structure from Alexandria. Energies are from GGA-PBE.

a = 7.334 Å, b = 7.334 Å, c = 7.334 Å
α = 90.00°, β = 90.00°, γ = 90.00°
Space group Fm-3m (No. 225)
One atom of each set of equivalent atoms:
Hf  0.000  0.000  0.000 (multiplicity 4)
Ag  0.000  0.000  0.500 (multiplicity 4)
I  0.250  0.250  0.250 (multiplicity 8)

ΔE_f (raw) in eV per atom: 0.275
Size of the total moment in μB/f.u.: 0.996
Distance to the lowest polymorph of the same formula in kJ per mole of atoms: 20.6

***

Entry 13:
Here is a geometry-optimized Hf3AgI structure from Alexandria. Energies are from GGA-PBE.

a = 5.170 Å, b = 5.170 Å, c = 5.170 Å
α = 90.00°, β = 90.00°, γ = 90.00°
Space group Pm-3m (No. 221)
One atom of each set of equivalent atoms:
Hf  0.000  0.000  0.500 (multiplicity 3)
Ag  0.000  0.000  0.000 (multiplicity 1)
I  0.500  0.500  0.500 (multiplicity 1)

ΔE_f (raw) in eV per atom: 1.040
Size of the total moment in μB/f.u.: 0.000
Distance to the lowest polymorph of the same formula in kJ per mole of atoms: 0.0

***

Entry 14:
Here is a geometry-optimized HfAgI6 structure from Alexandria. Energies are from GGA-PBE.

a = 7.073 Å, b = 7.588 Å, c = 7.632 Å
α = 116.85°, β = 90.06°, γ = 116.14°
Space group P-1 (No. 2)
One atom of each set of equivalent atoms:
Hf  0.000  0.000  0.000 (multiplicity 1)
Ag  0.500  0.000  0.500 (multiplicity 1)
I  0.044  0.434  0.226 (multiplicity 2)
I  0.251  0.168  0.761 (multiplicity 2)
I  0.403  0.164  0.261 (multiplicity 2)

ΔE_f (raw) in eV per atom: -0.526
Size of the total moment in μB/f.u.: 0.000

***

Entry 15:
Here is a geometry-optimized HfAg3I structure from Alexandria. Energies are from GGA-PBE.

a = 5.393 Å, b = 5.393 Å, c = 5.393 Å
α = 90.00°, β = 90.00°, γ = 90.00°
Space group Pm-3m (No. 221)
One atom of each set of equivalent atoms:
Hf  0.000  0.000  0.000 (multiplicity 1)
Ag  0.000  0.000  0.500 (multiplicity 3)
I  0.500  0.500  0.500 (multiplicity 1)

ΔE_f (raw) in eV per atom: 1.035
Size of the total moment in μB/f.u.: 0.000
Distance to the lowest polymorph of the same formula in kJ per mole of atoms: 0.0

***

Entry 16:
Here is a geometry-optimized HfNiAgI2 structure from Alexandria. Energies are from GGA-PBE.

a = 5.463 Å, b = 5.463 Å, c = 5.386 Å
α = 90.00°, β = 90.00°, γ = 90.00°
Space group P4/mmm (No. 123)
One atom of each set of equivalent atoms:
Hf  0.000  0.000  0.000 (multiplicity 1)
Ni  0.500  0.500  0.000 (multiplicity 1)
Ag  0.000  0.000  0.500 (multiplicity 1)
I  0.000  0.500  0.500 (multiplicity 2)

ΔE_f (raw) in eV per atom: 1.328
Size of the total moment in μB/f.u.: 0.000
Distance to the lowest polymorph of the same formula in kJ per mole of atoms: 73.2

***

Entry 17:
Here is a geometry-optimized HfNiAgI2 structure from Alexandria. Energies are from GGA-PBE.

a = 5.227 Å, b = 5.227 Å, c = 4.834 Å
α = 90.00°, β = 90.00°, γ = 90.00°
Space group P4/mmm (No. 123)
One atom of each set of equivalent atoms:
Hf  0.000  0.000  0.000 (multiplicity 1)
Ni  0.000  0.000  0.500 (multiplicity 1)
Ag  0.500  0.500  0.000 (multiplicity 1)
I  0.000  0.500  0.500 (multiplicity 2)

ΔE_f (raw) in eV per atom: 0.570
Size of the total moment in μB/f.u.: 0.000
Distance to the lowest polymorph of the same formula in kJ per mole of atoms: 0.0

***

Entry 18:
Here is a geometry-optimized HfAgI2O structure from Alexandria. Energies are from GGA-PBE.

a = 5.830 Å, b = 5.830 Å, c = 3.968 Å
α = 90.00°, β = 90.00°, γ = 90.00°
Space group P4/mmm (No. 123)
One atom of each set of equivalent atoms:
Hf  0.000  0.000  0.000 (multiplicity 1)
Ag  0.500  0.500  0.500 (multiplicity 1)
I  0.000  0.500  0.000 (multiplicity 2)
O  0.000  0.000  0.500 (multiplicity 1)

ΔE_f (raw) in eV per atom: -0.927
Size of the total moment in μB/f.u.: 0.395
Distance to the lowest polymorph of the same formula in kJ per mole of atoms: 0.0

***

Entry 19:
Here is a geometry-optimized HfAgI2O structure from Alexandria. Energies are from GGA-PBE.

a = 5.691 Å, b = 5.691 Å, c = 3.905 Å
α = 90.00°, β = 90.00°, γ = 90.00°
Space group P4/mmm (No. 123)
One atom of each set of equivalent atoms:
Hf  0.000  0.000  0.000 (multiplicity 1)
Ag  0.500  0.500  0.500 (multiplicity 1)
I  0.000  0.500  0.500 (multiplicity 2)
O  0.500  0.500  0.000 (multiplicity 1)

ΔE_f (raw) in eV per atom: 0.473
Size of the total moment in μB/f.u.: 0.001
Distance to the lowest polymorph of the same formula in kJ per mole of atoms: 135.1

***

Entry 20:
Here is a geometry-optimized HfAgIO5 structure from Alexandria. Energies are from GGA-PBE.

a = 7.674 Å, b = 8.966 Å, c = 8.194 Å
α = 90.00°, β = 117.88°, γ = 90.00°
Space group C2/c (No. 15)
One atom of each set of equivalent atoms:
Hf  0.250  0.250  0.000 (multiplicity 4)
Ag  0.000  0.062  0.250 (multiplicity 4)
I  0.000  0.453  0.250 (multiplicity 4)
O  0.000  0.261  0.750 (multiplicity 4)
O  0.075  0.302  0.135 (multiplicity 8)
O  0.232  0.018  0.033 (multiplicity 8)

ΔE_f (raw) in eV per atom: -1.327
Size of the total moment in μB/f.u.: 0.000

***

Entry 21:
Here is a geometry-optimized RbHfAg2I8 structure from Alexandria. Energies are from GGA-PBE.

a = 6.777 Å, b = 7.583 Å, c = 10.296 Å
α = 85.13°, β = 71.92°, γ = 83.92°
Space group P-1 (No. 2)
One atom of each set of equivalent atoms:
Rb  0.000  0.000  0.000 (multiplicity 1)
Hf  0.500  0.000  0.500 (multiplicity 1)
Ag  0.168  0.602  0.293 (multiplicity 2)
I  0.167  0.824  0.666 (multiplicity 2)
I  0.239  0.507  0.024 (multiplicity 2)
I  0.241  0.333  0.509 (multiplicity 2)
I  0.417  0.902  0.258 (multiplicity 2)

ΔE_f (raw) in eV per atom: -0.655
Size of the total moment in μB/f.u.: 0.000

***

Entry 22:
Here is a geometry-optimized HfAgSb2I structure from Alexandria. Energies are from GGA-PBE.

a = 5.561 Å, b = 5.561 Å, c = 5.659 Å
α = 90.00°, β = 90.00°, γ = 90.00°
Space group P4/mmm (No. 123)
One atom of each set of equivalent atoms:
Hf  0.000  0.000  0.000 (multiplicity 1)
Ag  0.500  0.500  0.500 (multiplicity 1)
Sb  0.000  0.500  0.000 (multiplicity 2)
I  0.000  0.000  0.500 (multiplicity 1)

ΔE_f (raw) in eV per atom: 0.351
Size of the total moment in μB/f.u.: 0.001
Distance to the lowest polymorph of the same formula in kJ per mole of atoms: 0.0

***

Entry 23:
Here is a geometry-optimized HfAgSbI2 structure from Alexandria. Energies are from GGA-PBE.

a = 5.595 Å, b = 5.595 Å, c = 5.748 Å
α = 90.00°, β = 90.00°, γ = 90.00°
Space group P4/mmm (No. 123)
One atom of each set of equivalent atoms:
Hf  0.000  0.000  0.000 (multiplicity 1)
Ag  0.500  0.500  0.500 (multiplicity 1)
Sb  0.000  0.000  0.500 (multiplicity 1)
I  0.000  0.500  0.000 (multiplicity 2)

ΔE_f (raw) in eV per atom: 0.166
Size of the total moment in μB/f.u.: 0.000
Distance to the lowest polymorph of the same formula in kJ per mole of atoms: 0.0

***

Entry 24:
Here is a geometry-optimized Hf2AgSnI structure from Alexandria. Energies are from GGA-PBE.

a = 5.364 Å, b = 5.364 Å, c = 4.954 Å
α = 90.00°, β = 90.00°, γ = 90.00°
Space group P4/mmm (No. 123)
One atom of each set of equivalent atoms:
Hf  0.000  0.500  0.000 (multiplicity 2)
Ag  0.000  0.000  0.000 (multiplicity 1)
Sn  0.000  0.000  0.500 (multiplicity 1)
I  0.500  0.500  0.500 (multiplicity 1)

ΔE_f (raw) in eV per atom: 0.933
Size of the total moment in μB/f.u.: 0.001

***

Entry 25:
Here is a geometry-optimized HfAgTeI2 structure from Alexandria. Energies are from GGA-PBE.

a = 5.690 Å, b = 5.690 Å, c = 5.579 Å
α = 90.00°, β = 90.00°, γ = 90.00°
Space group P4/mmm (No. 123)
One atom of each set of equivalent atoms:
Hf  0.000  0.000  0.000 (multiplicity 1)
Ag  0.500  0.500  0.500 (multiplicity 1)
Te  0.000  0.000  0.500 (multiplicity 1)
I  0.000  0.500  0.000 (multiplicity 2)

ΔE_f (raw) in eV per atom: -0.045
Size of the total moment in μB/f.u.: 0.000
Distance to the lowest polymorph of the same formula in kJ per mole of atoms: 0.0

***

Entry 26:
Here is a geometry-optimized HfTi2AgI structure from Alexandria. Energies are from GGA-PBE.

a = 4.921 Å, b = 4.921 Å, c = 5.260 Å
α = 90.00°, β = 90.00°, γ = 90.00°
Space group P4/mmm (No. 123)
One atom of each set of equivalent atoms:
Hf  0.000  0.000  0.000 (multiplicity 1)
Ti  0.000  0.500  0.500 (multiplicity 2)
Ag  0.500  0.500  0.000 (multiplicity 1)
I  0.000  0.000  0.500 (multiplicity 1)

ΔE_f (raw) in eV per atom: 1.138
Size of the total moment in μB/f.u.: 1.789